This record from the Alexandria database describes LiPmInCo after structural relaxation. The functional is PBE.

Values from the calculation:
calculated total energy: -4.2690 eV per atom
volume: 75.6 Å³/cell
Fermi-level density of states: 5.1 states/eV/cell
calculated formation energy: -0.142 eV/atom

Geometry as POSCAR:
```
LiPmInCo
1.0
4.747 0.000 0.000
2.374 4.111 0.000
2.374 1.370 3.876
In Co Pm Li
1 1 1 1
direct
0.250 0.250 0.250
0.500 0.500 0.500
0.750 0.750 0.750
0.000 0.000 0.000
```

---

This record from the Alexandria database describes LiPuInCo after structural relaxation. The functional is PBE.

Values from the calculation:
calculated total energy: -6.5194 eV per atom
volume: 72.4 Å³/cell
Fermi-level density of states: 10.7 states/eV/cell
calculated formation energy: 0.003 eV/atom

Geometry as POSCAR:
```
LiPuInCo
1.0
-2.165 0.581 -4.106
-2.397 -3.539 -1.902
-4.672 0.167 -0.178
Co In Li Pu
1 1 1 1
direct
0.250 0.250 0.250
0.000 0.000 0.000
0.750 0.750 0.750
0.500 0.500 0.500
```

---

This record from the Alexandria database describes LiInCo2Ru after structural relaxation. The functional is PBE.

Values from the calculation:
calculated total energy: -4.0753 eV per atom
volume: 94.5 Å³/cell
Fermi-level density of states: 5.0 states/eV/cell
calculated formation energy: 1.553 eV/atom

Geometry as POSCAR:
```
LiInCo2Ru
1.0
-2.494 0.190 3.932
-2.910 -2.744 -1.713
2.404 -3.612 1.700
Co In Ru Li
2 1 1 1
direct
0.500 0.000 0.000
0.000 0.000 0.500
0.000 0.000 0.000
0.500 0.500 0.500
0.000 0.500 0.000
```

---

This record from the Alexandria database describes LiInCoSn2 after structural relaxation. The functional is PBE.

Values from the calculation:
calculated total energy: -3.9195 eV per atom
volume: 120.3 Å³/cell
Fermi-level density of states: 4.8 states/eV/cell
calculated formation energy: 0.033 eV/atom

Geometry as POSCAR:
```
LiInCoSn2
1.0
-4.382 1.927 -1.179
-2.101 -2.530 3.672
0.834 3.782 3.083
Sn In Co Li
2 1 1 1
direct
0.000 0.500 0.000
0.500 0.000 0.000
0.000 0.000 0.500
0.000 0.000 0.000
0.500 0.500 0.500
```

---

This record from the Alexandria database describes SrLiIn2Co after structural relaxation. The functional is PBE.

Values from the calculation:
calculated total energy: -3.3489 eV per atom
volume: 122.4 Å³/cell
Fermi-level density of states: 3.0 states/eV/cell
calculated formation energy: -0.113 eV/atom

Geometry as POSCAR:
```
SrLiIn2Co
1.0
-1.726 -4.613 0.619
4.336 -1.353 2.002
-1.693 1.238 4.503
Li In Co Sr
1 2 1 1
direct
0.000 0.000 0.500
0.500 0.000 0.000
0.000 0.500 0.000
0.000 0.000 0.000
0.500 0.500 0.500
```

---

This record from the Alexandria database describes LiTaInCo2 after structural relaxation. The functional is PBE.

Values from the calculation:
calculated total energy: -4.2914 eV per atom
volume: 112.1 Å³/cell
Fermi-level density of states: 12.7 states/eV/cell
calculated formation energy: 1.852 eV/atom

Geometry as POSCAR:
```
LiTaInCo2
1.0
-4.371 -1.677 -0.046
1.823 -4.733 -0.671
0.177 -0.589 4.641
Co Ta Li In
2 1 1 1
direct
0.500 0.000 0.000
0.000 0.000 0.500
0.000 0.500 0.000
0.500 0.500 0.500
0.000 0.000 0.000
```